# 1
Cu2PCl8 | PBE | relaxed

abc: 6.925 6.925 8.809
angles: 104.45 104.45 62.06
Fractional positions:
Cu: 0.118 0.118 0.480
Cu: 0.882 0.882 0.520
P: 0.500 0.500 0.000
Cl: 0.067 0.067 0.698
Cl: 0.175 0.588 0.883
Cl: 0.251 0.251 0.360
Cl: 0.412 0.825 0.117
Cl: 0.588 0.175 0.883
Cl: 0.749 0.749 0.640
Cl: 0.825 0.412 0.117
Cl: 0.933 0.933 0.302

Computed properties:
symmetry: C2/m, No. 12
E: -2.89 eV/atom
theoretical density: 2.05 g cm⁻³
spin magnetization: 0.977 μB per formula unit
ΔE_f (raw): -312 meV/atom

***

# 2
BaYSb2 | PBE | relaxed

abc: 6.865 6.865 16.694
angles: 90.00 90.00 90.00
Fractional positions:
Ba: 0.000 0.000 0.000
Ba: 0.000 0.500 0.250
Ba: 0.500 0.000 0.750
Ba: 0.500 0.500 0.500
Y: 0.000 0.000 0.500
Y: 0.000 0.500 0.750
Y: 0.500 0.000 0.250
Y: 0.500 0.500 0.000
Sb: 0.179 0.250 0.625
Sb: 0.250 0.679 0.875
Sb: 0.250 0.821 0.375
Sb: 0.321 0.250 0.125
Sb: 0.679 0.750 0.125
Sb: 0.750 0.179 0.375
Sb: 0.750 0.321 0.875
Sb: 0.821 0.750 0.625

Computed properties:
symmetry: I-42d, No. 122
E: -4.68 eV/atom
theoretical density: 3.97 g cm⁻³
spin magnetization: 0.000 μB per formula unit
ΔE_f (raw): -525 meV/atom